An optimized crystal structure of Al2TeIr, computed with PBE. Values from VASP.

Structure (Quantum ESPRESSO input):
```
&SYSTEM
  ibrav = 0, nat = 4, ntyp = 3
/
ATOMIC_SPECIES
Al 26.98 Al.upf
Te 127.60 Te.upf
Ir 192.22 Ir.upf
CELL_PARAMETERS angstrom
-1.4709 1.9711 7.7884
1.4709 -1.9711 7.7884
1.4709 1.9711 -7.7884
ATOMIC_POSITIONS angstrom
Al 0.0000 0.0000 0.0000
Al 0.0000 1.9711 2.5426
Te 0.0000 0.0000 6.0709
Ir 1.4709 0.0000 2.0128
```

## Properties
electronic total energy = -5.11 eV/atom
energy relative to the elements, uncorrected = -237 meV per atom
V = 22.6 Å³ per atom
size of the total moment = 0.0 Bohr magnetons per cell
calculated density = 6.9 g cm⁻³

=====

An optimized crystal structure of HfThMn, computed with PBE. Values from VASP.

Structure (Quantum ESPRESSO input):
```
&SYSTEM
  ibrav = 0, nat = 12, ntyp = 3
/
ATOMIC_SPECIES
Hf 178.49 Hf.upf
Th 232.04 Th.upf
Mn 54.94 Mn.upf
CELL_PARAMETERS angstrom
3.1934 -6.1370 0.0000
3.1934 6.1370 0.0000
0.0000 0.0000 6.7013
ATOMIC_POSITIONS angstrom
Hf 1.5967 0.3431 1.6753
Hf 1.5967 -0.3431 5.0260
Hf 4.7900 0.3431 1.6753
Hf 4.7900 -0.3431 5.0260
Th 3.1934 3.7192 2.6246
Th 3.1934 2.4178 5.9752
Th 3.1934 -2.4178 0.7261
Th 3.1934 -3.7192 4.0767
Mn 3.1934 4.7651 0.2779
Mn 3.1934 1.3719 3.6286
Mn 3.1934 -1.3719 3.0727
Mn 3.1934 -4.7651 6.4233
```

## Properties
electronic total energy = -8.82 eV/atom
V = 21.9 Å³ per atom
size of the total moment = 0.0 Bohr magnetons per cell
calculated density = 11.8 g cm⁻³

=====

An optimized crystal structure of Dy12Y2Tm, computed with PBE. Values from VASP.

Structure (Quantum ESPRESSO input):
```
&SYSTEM
  ibrav = 0, nat = 15, ntyp = 3
/
ATOMIC_SPECIES
Dy 162.50 Dy.upf
Y 88.91 Y.upf
Tm 168.93 Tm.upf
CELL_PARAMETERS angstrom
3.6133 0.0000 0.0000
0.0000 5.6740 0.0000
-1.8017 0.0000 23.3127
ATOMIC_POSITIONS angstrom
Dy -0.0080 0.0000 1.5354
Dy 0.0023 2.8370 3.3887
Dy 0.0030 0.0000 7.5032
Dy 0.0079 2.8370 9.9222
Dy 0.0002 0.0000 13.0015
Dy 0.0101 0.0000 18.8276
Dy 1.8015 0.0000 4.4851
Dy 1.8113 0.0000 10.3112
Dy 1.8036 2.8370 13.3905
Dy 1.8085 0.0000 15.8095
Dy 1.8092 2.8370 19.9240
Dy 1.8196 0.0000 21.7773
Y -0.0006 2.8370 16.6807
Y 1.8122 2.8370 6.6320
Tm 1.8066 2.8370 0.0000
```

## Properties
electronic total energy = -4.77 eV/atom
V = 31.9 Å³ per atom
size of the total moment = 0.0 Bohr magnetons per cell
calculated density = 8.0 g cm⁻³

=====

An optimized crystal structure of CdSbRu4, computed with PBE. Values from VASP.

Structure (Quantum ESPRESSO input):
```
&SYSTEM
  ibrav = 0, nat = 6, ntyp = 3
/
ATOMIC_SPECIES
Cd 112.41 Cd.upf
Sb 121.76 Sb.upf
Ru 101.07 Ru.upf
CELL_PARAMETERS angstrom
0.0000 3.7196 3.7196
3.7196 0.0000 3.7196
3.7196 3.7196 0.0000
ATOMIC_POSITIONS angstrom
Cd 0.0000 0.0000 0.0000
Sb 5.5793 5.5793 5.5793
Ru 2.7904 2.7904 2.7904
Ru 4.6488 4.6488 2.7904
Ru 4.6488 2.7904 4.6488
Ru 2.7904 4.6488 4.6488
```

## Properties
electronic total energy = -6.51 eV/atom
energy relative to the elements, uncorrected = 517 meV per atom
V = 17.2 Å³ per atom
size of the total moment = 3.0 Bohr magnetons per cell
calculated density = 10.3 g cm⁻³

=====

An optimized crystal structure of Zn2GePd, computed with PBE. Values from VASP.

Structure (Quantum ESPRESSO input):
```
&SYSTEM
  ibrav = 0, nat = 8, ntyp = 3
/
ATOMIC_SPECIES
Zn 65.41 Zn.upf
Ge 72.64 Ge.upf
Pd 106.42 Pd.upf
CELL_PARAMETERS angstrom
-3.6739 3.6739 2.5301
3.6739 -3.6739 2.5301
3.6739 3.6739 -2.5301
ATOMIC_POSITIONS angstrom
Zn 5.5108 1.7910 -0.6325
Zn 1.7910 1.8369 0.6325
Zn -1.8369 1.8829 1.8976
Zn 1.8829 1.8369 3.1626
Ge 3.6739 0.0000 1.2650
Ge 0.0000 0.0000 2.5301
Pd 0.0000 0.0000 0.0000
Pd 0.0000 3.6739 1.2650
```

## Properties
electronic total energy = -3.08 eV/atom
V = 17.1 Å³ per atom
size of the total moment = 0.0 Bohr magnetons per cell
calculated density = 7.5 g cm⁻³

=====

An optimized crystal structure of LiPm3Nd3Se8, computed with PBE. Values from VASP.

Structure (Quantum ESPRESSO input):
```
&SYSTEM
  ibrav = 0, nat = 15, ntyp = 4
/
ATOMIC_SPECIES
Li 6.94 Li.upf
Pm 145.00 Pm.upf
Nd 144.24 Nd.upf
Se 78.96 Se.upf
CELL_PARAMETERS angstrom
4.1811 2.4139 6.8381
-4.1811 2.4139 6.8381
0.0000 -4.8279 6.8381
ATOMIC_POSITIONS angstrom
Li 0.0000 0.0000 0.0000
Pm -2.0905 -1.2070 6.8381
Pm -2.0905 1.2070 13.6762
Pm 0.0000 2.4139 6.8381
Nd -4.1811 0.0000 10.2571
Nd -2.0905 1.2070 3.4190
Nd 2.0905 1.2070 3.4190
Se 0.0000 -2.4587 8.4984
Se -2.1293 1.2293 8.4984
Se -2.1293 -1.2293 12.0159
Se 0.0000 0.0000 5.1459
Se 0.0000 0.0000 15.3684
Se 2.1293 1.2293 8.4984
Se 2.1293 -1.2293 12.0159
Se 0.0000 2.4587 12.0159
```

## Properties
electronic total energy = -5.71 eV/atom
energy relative to the elements, uncorrected = -1817 meV per atom
V = 27.6 Å³ per atom
size of the total moment = 0.0 Bohr magnetons per cell
calculated density = 6.0 g cm⁻³

=====

An optimized crystal structure of Be2CuTc, computed with PBE. Values from VASP.

Structure (Quantum ESPRESSO input):
```
&SYSTEM
  ibrav = 0, nat = 4, ntyp = 3
/
ATOMIC_SPECIES
Be 9.01 Be.upf
Cu 63.55 Cu.upf
Tc 98.00 Tc.upf
CELL_PARAMETERS angstrom
0.0000 2.8161 2.8161
2.8161 0.0000 2.8161
2.8161 2.8161 0.0000
ATOMIC_POSITIONS angstrom
Be 0.0000 0.0000 0.0000
Be 1.4081 1.4081 1.4081
Cu 4.2242 4.2242 4.2242
Tc 2.8161 2.8161 2.8161
```

## Properties
electronic total energy = -5.25 eV/atom
V = 11.2 Å³ per atom
size of the total moment = 1.0 Bohr magnetons per cell
calculated density = 6.7 g cm⁻³

=====

An optimized crystal structure of CuPt6O12, computed with PBE. Values from VASP.

Structure (Quantum ESPRESSO input):
```
&SYSTEM
  ibrav = 0, nat = 19, ntyp = 3
/
ATOMIC_SPECIES
Cu 63.55 Cu.upf
Pt 195.08 Pt.upf
O 16.00 O.upf
CELL_PARAMETERS angstrom
4.6145 2.6642 2.9003
-4.6145 2.6642 2.9003
0.0000 -5.3283 2.9003
ATOMIC_POSITIONS angstrom
Cu 0.0000 0.0000 0.0000
Pt -2.0275 0.4031 2.8863
Pt 0.6647 -1.9574 2.8863
Pt -1.3628 -1.5543 5.8146
Pt 1.3628 1.5543 2.8863
Pt -0.6647 1.9574 5.8146
Pt 2.0275 -0.4031 5.8146
O -3.0562 -3.2860 4.8558
O -4.3739 1.0037 3.8451
O -1.2486 -1.6085 3.5605
O 1.3177 -4.2897 3.8451
O -2.0173 0.2771 5.1404
O -0.7687 1.8856 3.5605
O 0.7687 -1.8856 5.1404
O 2.0173 -0.2771 3.5605
O -1.3177 4.2897 4.8558
O 1.2486 1.6085 5.1404
O 4.3739 -1.0037 4.8558
O 3.0562 3.2860 3.8451
```

## Properties
electronic total energy = -5.46 eV/atom
energy relative to the elements, uncorrected = -202 meV per atom
V = 11.3 Å³ per atom
size of the total moment = 0.0 Bohr magnetons per cell
calculated density = 11.1 g cm⁻³

=====

An optimized crystal structure of HfHgMo2, computed with PBE. Values from VASP.

Structure (Quantum ESPRESSO input):
```
&SYSTEM
  ibrav = 0, nat = 8, ntyp = 3
/
ATOMIC_SPECIES
Hf 178.49 Hf.upf
Hg 200.59 Hg.upf
Mo 95.94 Mo.upf
CELL_PARAMETERS angstrom
-3.7714 3.7714 2.7851
3.7714 -3.7714 2.7851
3.7714 3.7714 -2.7851
ATOMIC_POSITIONS angstrom
Hf 0.0000 0.0000 0.0000
Hf 0.0000 3.7714 1.3926
Hg 3.7714 0.0000 1.3926
Hg 0.0000 0.0000 2.7851
Mo 1.8857 1.9010 -0.6963
Mo 5.6418 1.8857 0.6963
Mo 1.8857 1.8704 2.0888
Mo -1.8704 1.8857 3.4814
```

## Properties
electronic total energy = -7.07 eV/atom
V = 19.8 Å³ per atom
size of the total moment = 0.0 Bohr magnetons per cell
calculated density = 12.0 g cm⁻³

=====

An optimized crystal structure of CrReAs2Br, computed with PBE. Values from VASP.

Structure (Quantum ESPRESSO input):
```
&SYSTEM
  ibrav = 0, nat = 5, ntyp = 4
/
ATOMIC_SPECIES
Cr 52.00 Cr.upf
Re 186.21 Re.upf
As 74.92 As.upf
Br 79.90 Br.upf
CELL_PARAMETERS angstrom
4.7301 0.0000 0.0000
0.0000 4.7301 0.0000
0.0000 0.0000 5.5875
ATOMIC_POSITIONS angstrom
Cr 0.0000 0.0000 0.0000
Re 2.3651 2.3651 2.7938
As 0.0000 2.3651 2.7938
As 2.3651 0.0000 2.7938
Br 2.3651 2.3651 0.0000
```

## Properties
electronic total energy = -5.84 eV/atom
energy relative to the elements, uncorrected = 773 meV per atom
V = 25.0 Å³ per atom
size of the total moment = 4.9 Bohr magnetons per cell
calculated density = 6.2 g cm⁻³

=====

An optimized crystal structure of Pa2Si2Tc, computed with PBE. Values from VASP.

Structure (Quantum ESPRESSO input):
```
&SYSTEM
  ibrav = 0, nat = 5, ntyp = 3
/
ATOMIC_SPECIES
Pa 231.04 Pa.upf
Si 28.09 Si.upf
Tc 98.00 Tc.upf
CELL_PARAMETERS angstrom
-1.8265 2.9842 4.3794
1.8265 -2.9842 4.3794
1.8265 2.9842 -4.3794
ATOMIC_POSITIONS angstrom
Pa 0.0000 0.0000 2.0435
Pa 0.0000 0.0000 6.7153
Si 1.8265 1.1975 0.0000
Si 0.0000 1.7868 4.3794
Tc 0.0000 2.9842 0.0000
```

## Properties
electronic total energy = -8.70 eV/atom
energy relative to the elements, uncorrected = -655 meV per atom
V = 19.1 Å³ per atom
size of the total moment = 0.0 Bohr magnetons per cell
calculated density = 10.7 g cm⁻³

=====

An optimized crystal structure of Sm2In6IrRh, computed with PBE. Values from VASP.

Structure (Quantum ESPRESSO input):
```
&SYSTEM
  ibrav = 0, nat = 10, ntyp = 4
/
ATOMIC_SPECIES
Sm 150.36 Sm.upf
In 114.82 In.upf
Ir 192.22 Ir.upf
Rh 102.91 Rh.upf
CELL_PARAMETERS angstrom
6.1772 0.0000 0.0000
0.5332 6.1721 0.0000
0.0142 0.0496 6.2847
ATOMIC_POSITIONS angstrom
Sm 0.9996 2.2970 1.5563
Sm 5.7250 3.9247 4.7284
In 1.9063 5.3830 0.7301
In 1.7913 1.4724 4.6997
In 2.6896 4.5478 3.8677
In 4.0350 1.6738 2.4170
In 4.9333 4.7492 1.5850
In 4.8183 0.8387 5.5545
Ir 3.3552 3.0860 0.0000
Rh 0.0071 0.0248 3.1423
```

## Properties
electronic total energy = -4.52 eV/atom
V = 24.0 Å³ per atom
size of the total moment = 0.0 Bohr magnetons per cell
calculated density = 8.9 g cm⁻³